VASP calculation (PBE) on an optimized crystal structure of LiTiPd3.

Lattice parameters (Å, degrees): 4.6858 4.6858 4.6858 90.00 90.00 90.00
Space group Pm-3m (No. 221)
Unique sites:
Li  0.0000  0.0000  0.0000 (multiplicity 1)
Ti  0.5000  0.5000  0.5000 (multiplicity 1)
Pd  0.0000  0.5000  0.5000 (multiplicity 3)

The energy of formation comes out at 22.5 kJ per mole of atoms. The total magnetic moment is 0.0 μB per cell.